Record 1
The following is a DFT calculation (PBE) of an optimized crystal structure of BaAc5La4.

density: 6.95 g/cm³
energy of formation: 0.11 eV per atom
DOS(E_F): 21.30 states/eV per cell
space group: P4/mmm, No. 123

Lattice parameters (Å, degrees): 4.5076 4.5076 21.4869 90.00 90.00 90.00
With the nearest neighbours (Å) after each atom.
Element x y z (fractional)
Ba: 0.0000 0.0000 0.0000  8 Ac 4.25, 4 Ba 4.51
Ac: 0.5000 0.5000 0.1311  4 La 3.82, 1 Ac 3.94, 4 Ba 4.25
Ac: 0.5000 0.5000 0.3145  8 La 3.68-3.72, 2 Ac 3.94-3.99
Ac: 0.5000 0.5000 0.5000  8 La 3.80, 2 Ac 3.99
Ac: 0.5000 0.5000 0.6855  8 La 3.68-3.72, 2 Ac 3.94-3.99
Ac: 0.5000 0.5000 0.8689  4 La 3.82, 1 Ac 3.94, 4 Ba 4.25
La: 0.0000 0.0000 0.2293  8 Ac 3.68-3.82, 1 La 3.76
La: 0.0000 0.0000 0.4040  8 Ac 3.72-3.80, 2 La 3.76-4.12
La: 0.0000 0.0000 0.5960  8 Ac 3.72-3.80, 2 La 3.76-4.12
La: 0.0000 0.0000 0.7707  8 Ac 3.68-3.82, 1 La 3.76

---

Record 2
The following is a DFT calculation (PBE) of an optimized crystal structure of BaAcLaMg.

density: 5.38 g/cm³
energy of formation: 0.15 eV per atom
DOS(E_F): 18.54 states/eV per cell
space group: F-43m, No. 216

Lattice parameters (Å, degrees): 8.6678 8.6678 8.6678 90.00 90.00 90.00
With the nearest neighbours (Å) after each atom.
Element x y z (fractional)
Ba: 0.0000 0.0000 0.0000  4 Ac 3.75, 4 Mg 3.75
Ba: 0.0000 0.5000 0.5000  4 Ac 3.75, 4 Mg 3.75
Ba: 0.5000 0.0000 0.5000  4 Ac 3.75, 4 Mg 3.75
Ba: 0.5000 0.5000 0.0000  4 Ac 3.75, 4 Mg 3.75
Ac: 0.2500 0.2500 0.7500  4 Ba 3.75, 4 La 3.75
Ac: 0.2500 0.7500 0.2500  4 Ba 3.75, 4 La 3.75
Ac: 0.7500 0.2500 0.2500  4 Ba 3.75, 4 La 3.75
Ac: 0.7500 0.7500 0.7500  4 Ba 3.75, 4 La 3.75
La: 0.0000 0.0000 0.5000  4 Ac 3.75, 4 Mg 3.75
La: 0.0000 0.5000 0.0000  4 Ac 3.75, 4 Mg 3.75
La: 0.5000 0.0000 0.0000  4 Ac 3.75, 4 Mg 3.75
La: 0.5000 0.5000 0.5000  4 Ac 3.75, 4 Mg 3.75
Mg: 0.2500 0.2500 0.2500  4 Ba 3.75, 4 La 3.75
Mg: 0.2500 0.7500 0.7500  4 Ba 3.75, 4 La 3.75
Mg: 0.7500 0.2500 0.7500  4 Ba 3.75, 4 La 3.75
Mg: 0.7500 0.7500 0.2500  4 Ba 3.75, 4 La 3.75

---

Record 3
The following is a DFT calculation (PBE) of an optimized crystal structure of BaAc4LaO8.

uncorrected formation energy: -3.07 eV/atom
density: 7.06 g/cm³
DOS(E_F): 2.76 states/eV per cell
space group: R3m, No. 160

Lattice parameters (Å, degrees): 7.5634 7.5634 7.5634 60.37 60.37 60.37
With the nearest neighbours (Å) after each atom.
Element x y z (fractional)
Ba: 0.0000 0.0000 0.0000  4 O 2.69
Ac: 0.1211 0.6242 0.6242  6 O 2.49-2.63
Ac: 0.2461 0.2461 0.2461  4 O 2.49-2.51
Ac: 0.6242 0.1211 0.6242  6 O 2.49-2.63
Ac: 0.6242 0.6242 0.1211  6 O 2.49-2.63
La: 0.6253 0.6253 0.6253  6 O 2.41-2.55
O: 0.3821 0.3821 0.3821  4 Ac 2.51-2.60
O: 0.3879 0.3879 0.8459  3 Ac 2.49-2.63, 1 La 2.55
O: 0.3879 0.8459 0.3879  3 Ac 2.49-2.63, 1 La 2.55
O: 0.4335 0.8486 0.8486  1 La 2.41, 2 Ac 2.50, 1 Ba 2.69
O: 0.8459 0.3879 0.3879  3 Ac 2.49-2.63, 1 La 2.55
O: 0.8486 0.4335 0.8486  1 La 2.41, 2 Ac 2.50, 1 Ba 2.69
O: 0.8486 0.8486 0.4335  1 La 2.41, 2 Ac 2.50, 1 Ba 2.69
O: 0.8546 0.8546 0.8546  3 Ac 2.49, 1 Ba 2.69

---

Record 4
The following is a DFT calculation (PBE) of an optimized crystal structure of Ba2AcLaS4.

uncorrected formation energy: -2.06 eV/atom
density: 5.37 g/cm³
DOS(E_F): 3.97 states/eV per cell
space group: P2/m, No. 10

Lattice parameters (Å, degrees): 7.5378 4.3571 7.6655 90.00 109.16 90.00
With the nearest neighbours (Å) after each atom.
Element x y z (fractional)
Ba: 0.0000 0.0000 0.0000  6 S 3.22
Ba: 0.5000 0.5000 0.0000  6 S 3.17
Ac: 0.0000 0.5000 0.5000  6 S 3.03
La: 0.5000 0.0000 0.5000  6 S 2.98
S: 0.2482 0.0000 0.7289  1 La 2.98, 2 Ac 3.03, 3 Ba 3.17-3.22
S: 0.2629 0.5000 0.2743  2 La 2.98, 1 Ac 3.03, 3 Ba 3.17-3.22
S: 0.7371 0.5000 0.7257  2 La 2.98, 1 Ac 3.03, 3 Ba 3.17-3.22
S: 0.7518 0.0000 0.2711  1 La 2.98, 2 Ac 3.03, 3 Ba 3.17-3.22

---

Record 5
The following is a DFT calculation (PBE) of an optimized crystal structure of BaAcLa2S4.

uncorrected formation energy: -2.07 eV/atom
density: 5.77 g/cm³
DOS(E_F): 4.14 states/eV per cell
space group: P2/m, No. 10

Lattice parameters (Å, degrees): 7.4109 4.2518 7.4492 90.00 109.07 90.00
With the nearest neighbours (Å) after each atom.
Element x y z (fractional)
Ba: 0.0000 0.0000 0.0000  6 S 3.12-3.13
Ac: 0.5000 0.5000 0.0000  6 S 3.07
La: 0.0000 0.5000 0.5000  6 S 2.99
La: 0.5000 0.0000 0.5000  6 S 2.93
S: 0.2511 0.0000 0.7360  3 La 2.93-2.99, 2 Ac 3.07, 1 Ba 3.12
S: 0.2631 0.5000 0.2696  3 La 2.93-2.99, 1 Ac 3.07, 2 Ba 3.13
S: 0.7369 0.5000 0.7304  3 La 2.93-2.99, 1 Ac 3.07, 2 Ba 3.13
S: 0.7489 0.0000 0.2640  3 La 2.93-2.99, 2 Ac 3.07, 1 Ba 3.12

---

Record 6
The following is a DFT calculation (PBE) of an optimized crystal structure of BaAc2LaSb4.

uncorrected formation energy: -1.10 eV/atom
density: 6.44 g/cm³
DOS(E_F): 6.03 states/eV per cell
space group: P2/m, No. 10

Lattice parameters (Å, degrees): 8.3129 4.7988 8.3432 90.00 109.41 90.00
With the nearest neighbours (Å) after each atom.
Element x y z (fractional)
Ba: 0.0000 0.0000 0.0000  6 Sb 3.45-3.46
Ac: 0.5000 0.0000 0.5000  6 Sb 3.34-3.35
Ac: 0.5000 0.5000 0.0000  6 Sb 3.45
La: 0.0000 0.5000 0.5000  6 Sb 3.35
Sb: 0.2470 0.0000 0.7393  3 Ac 3.35-3.45, 2 La 3.35, 1 Ba 3.45
Sb: 0.2552 0.5000 0.2629  3 Ac 3.34-3.45, 1 La 3.35, 2 Ba 3.46
Sb: 0.7448 0.5000 0.7371  3 Ac 3.34-3.45, 1 La 3.35, 2 Ba 3.46
Sb: 0.7530 0.0000 0.2607  3 Ac 3.35-3.45, 2 La 3.35, 1 Ba 3.45

---

Record 7
The following is a DFT calculation (PBE) of an optimized crystal structure of Ba3AcLa2Se6.

uncorrected formation energy: -1.98 eV/atom
density: 5.87 g/cm³
DOS(E_F): 5.34 states/eV per cell
space group: C2/m, No. 12

Lattice parameters (Å, degrees): 7.7820 7.7820 7.9279 99.42 99.42 119.96
With the nearest neighbours (Å) after each atom.
Element x y z (fractional)
Ba: 0.0000 0.0000 0.0000  6 Se 3.27-3.31
Ba: 0.3345 0.6655 0.0000  6 Se 3.27-3.31
Ba: 0.6655 0.3345 0.0000  6 Se 3.27-3.31
Ac: 0.5000 0.5000 0.5000  6 Se 3.14-3.15
La: 0.1668 0.8332 0.5000  6 Se 3.09
La: 0.8332 0.1668 0.5000  6 Se 3.09
Se: 0.0847 0.4237 0.2712  2 La 3.09, 1 Ac 3.15, 3 Ba 3.27-3.31
Se: 0.2370 0.2370 0.7278  2 La 3.09, 1 Ac 3.14, 3 Ba 3.27-3.31
Se: 0.4237 0.0847 0.2712  2 La 3.09, 1 Ac 3.15, 3 Ba 3.27-3.31
Se: 0.5763 0.9153 0.7288  2 La 3.09, 1 Ac 3.15, 3 Ba 3.27-3.31
Se: 0.7630 0.7630 0.2722  2 La 3.09, 1 Ac 3.14, 3 Ba 3.27-3.31
Se: 0.9153 0.5763 0.7288  2 La 3.09, 1 Ac 3.15, 3 Ba 3.27-3.31

---

Record 8
The following is a DFT calculation (PBE) of an optimized crystal structure of BaAc3La2Se6.

uncorrected formation energy: -1.92 eV/atom
density: 6.98 g/cm³
DOS(E_F): 7.57 states/eV per cell
space group: C2/m, No. 12

Lattice parameters (Å, degrees): 7.7075 7.7075 7.7044 99.59 99.59 120.02
With the nearest neighbours (Å) after each atom.
Element x y z (fractional)
Ba: 0.0000 0.0000 0.0000  6 Se 3.19-3.22
Ac: 0.1621 0.8379 0.5000  6 Se 3.12-3.19
Ac: 0.5000 0.5000 0.5000  6 Se 3.11-3.18
Ac: 0.8379 0.1621 0.5000  6 Se 3.12-3.19
La: 0.3329 0.6671 0.0000  6 Se 3.08-3.11
La: 0.6671 0.3329 0.0000  6 Se 3.08-3.11
Se: 0.0832 0.4279 0.2494  2 La 3.11, 3 Ac 3.12-3.19, 1 Ba 3.22
Se: 0.2641 0.2641 0.7575  2 La 3.08, 3 Ac 3.11-3.17, 1 Ba 3.19
Se: 0.4279 0.0832 0.2494  2 La 3.11, 3 Ac 3.12-3.19, 1 Ba 3.22
Se: 0.5721 0.9168 0.7506  2 La 3.11, 3 Ac 3.12-3.19, 1 Ba 3.22
Se: 0.7359 0.7359 0.2425  2 La 3.08, 3 Ac 3.11-3.17, 1 Ba 3.19
Se: 0.9168 0.5721 0.7506  2 La 3.11, 3 Ac 3.12-3.19, 1 Ba 3.22

---

Record 9
The following is a DFT calculation (PBE) of an optimized crystal structure of BaAc2LaSe4.

uncorrected formation energy: -1.92 eV/atom
density: 6.83 g/cm³
DOS(E_F): 4.27 states/eV per cell
space group: P2/m, No. 10

Lattice parameters (Å, degrees): 7.7579 4.4595 7.7849 90.00 109.17 90.00
With the nearest neighbours (Å) after each atom.
Element x y z (fractional)
Ba: 0.0000 0.0000 0.0000  6 Se 3.21-3.22
Ac: 0.5000 0.0000 0.5000  6 Se 3.12
Ac: 0.5000 0.5000 0.0000  6 Se 3.21
La: 0.0000 0.5000 0.5000  6 Se 3.13
Se: 0.2474 0.0000 0.7404  3 Ac 3.12-3.21, 2 La 3.13, 1 Ba 3.21
Se: 0.2552 0.5000 0.2614  3 Ac 3.12-3.21, 1 La 3.13, 2 Ba 3.22
Se: 0.7448 0.5000 0.7386  3 Ac 3.12-3.21, 1 La 3.13, 2 Ba 3.22
Se: 0.7526 0.0000 0.2596  3 Ac 3.12-3.21, 2 La 3.13, 1 Ba 3.21

---

Record 10
The following is a DFT calculation (PBE) of an optimized crystal structure of Ba2AcLaSe4.

uncorrected formation energy: -1.97 eV/atom
density: 6.00 g/cm³
DOS(E_F): 3.95 states/eV per cell
space group: P2/m, No. 10

Lattice parameters (Å, degrees): 7.8078 4.5126 7.9483 90.00 109.14 90.00
With the nearest neighbours (Å) after each atom.
Element x y z (fractional)
Ba: 0.0000 0.0000 0.0000  6 Se 3.32
Ba: 0.5000 0.5000 0.0000  6 Se 3.28
Ac: 0.0000 0.5000 0.5000  6 Se 3.15
La: 0.5000 0.0000 0.5000  6 Se 3.10
Se: 0.2488 0.0000 0.7315  1 La 3.10, 2 Ac 3.15, 3 Ba 3.28-3.32
Se: 0.2619 0.5000 0.2717  2 La 3.10, 1 Ac 3.15, 3 Ba 3.28-3.32
Se: 0.7381 0.5000 0.7283  2 La 3.10, 1 Ac 3.15, 3 Ba 3.28-3.32
Se: 0.7512 0.0000 0.2685  1 La 3.10, 2 Ac 3.15, 3 Ba 3.28-3.32

---

What is the formula in the third record?
BaAc4LaO8

---

Repeat the tenth record exactly.
The following is a DFT calculation (PBE) of an optimized crystal structure of Ba2AcLaSe4.

uncorrected formation energy: -1.97 eV/atom
density: 6.00 g/cm³
DOS(E_F): 3.95 states/eV per cell
space group: P2/m, No. 10

Lattice parameters (Å, degrees): 7.8078 4.5126 7.9483 90.00 109.14 90.00
With the nearest neighbours (Å) after each atom.
Element x y z (fractional)
Ba: 0.0000 0.0000 0.0000  6 Se 3.32
Ba: 0.5000 0.5000 0.0000  6 Se 3.28
Ac: 0.0000 0.5000 0.5000  6 Se 3.15
La: 0.5000 0.0000 0.5000  6 Se 3.10
Se: 0.2488 0.0000 0.7315  1 La 3.10, 2 Ac 3.15, 3 Ba 3.28-3.32
Se: 0.2619 0.5000 0.2717  2 La 3.10, 1 Ac 3.15, 3 Ba 3.28-3.32
Se: 0.7381 0.5000 0.7283  2 La 3.10, 1 Ac 3.15, 3 Ba 3.28-3.32
Se: 0.7512 0.0000 0.2685  1 La 3.10, 2 Ac 3.15, 3 Ba 3.28-3.32

---

What is the formula in the first record?
BaAc5La4